Entry from Alexandria via LeMat-Bulk: a relaxed TaBeP2 crystal (GGA-PBEsol).

Cell lengths 3.2187, 3.2187, 4.9795 Å; angles 90.00, 90.00, 90.00 degrees
Last column: nearest neighbours and their distance in Å.
Fractional positions:
Ta1 0.0000 0.0000 0.0000  2 Be 2.49, 8 P 2.64
Be1 0.0000 0.0000 0.5000  2 Ta 2.49, 8 P 2.55
P1 0.5000 0.5000 0.2686  1 P 2.30, 4 Be 2.55
P2 0.5000 0.5000 0.7314  1 P 2.30, 4 Be 2.55

Calculated formation energy, meV per atom: -257
Size of the total moment, Bohr magnetons per cell: 0.00
DOS at the Fermi energy, states/eV/atom: 0.44
Crystal system: tetragonal
Calculated total energy, eV per atom: -7.2907
Calculated volume, Å³ per atom: 12.897



Entry from Alexandria via LeMat-Bulk: a relaxed TaBeP2 crystal (GGA-PBEsol).

Cell lengths 3.4234, 3.3005, 9.6414 Å; angles 90.00, 90.00, 90.00 degrees
Last column: nearest neighbours and their distance in Å.
Fractional positions:
Ta1 0.0000 0.0000 0.0000  6 P 2.52-2.55, 2 Be 2.55
Ta2 0.0000 0.5000 0.5000  6 P 2.52-2.55, 2 Be 2.55
Be1 0.5000 0.0000 0.8046  1 P 2.09
Be2 0.5000 0.5000 0.3046  1 P 2.09
P1 0.0000 0.0000 0.2982  4 Be 2.38, 2 Ta 2.55
P2 0.0000 0.5000 0.7982  4 Be 2.38, 2 Ta 2.55
P3 0.5000 0.0000 0.5879  1 Be 2.09
P4 0.5000 0.5000 0.0879  1 Be 2.09

Calculated formation energy, meV per atom: -503
Size of the total moment, Bohr magnetons per cell: 0.00
DOS at the Fermi energy, states/eV/atom: 0.20
Crystal system: orthorhombic
Calculated total energy, eV per atom: -7.5370
Calculated volume, Å³ per atom: 13.617